Density functional theory data (PBE+U) for a geometry-optimized KZrMnBiO6 structure.

As for the total energy: -6.919 eV per atom. As for the space-group type: No. 216.

Unit cell a=5.650 b=5.650 c=5.650 alpha=60.00 beta=60.00 gamma=60.00
Site moments in Bohr magnetons follow the coordinates.
Fractional coordinates of all 10 atoms:
K: 0.250 0.250 0.250  0.00
Zr: 0.500 0.500 0.500  -0.03
Mn: 0.000 0.000 0.000  3.00
Bi: 0.750 0.750 0.750  0.04
O: 0.239 0.761 0.239  -0.02
O: 0.761 0.239 0.761  -0.02
O: 0.239 0.761 0.761  -0.02
O: 0.761 0.239 0.239  -0.02
O: 0.239 0.239 0.761  -0.02
O: 0.761 0.761 0.239  -0.02